1.
Density functional theory data (GGA-PBEsol) for a geometry-optimized V2GaFe structure.

Lattice parameters (Å, degrees): 2.5612 2.5612 7.9226 90.00 90.00 104.68
Site moments in Bohr magnetons follow the coordinates.
Element x y z (fractional)
V 0.0000 0.0000 0.4965  0.03
V 0.5000 0.5000 0.2401  -0.15
Ga 0.5000 0.5000 0.7613  -0.03
Fe 0.0000 0.0000 0.0020  1.80

* uncorrected energy: -7.9981 eV per atom

=====

2.
Density functional theory data (GGA-PBEsol) for a geometry-optimized Ga2FeW structure.

Lattice parameters (Å, degrees): 4.2546 4.2546 4.2546 60.00 60.00 60.00
Site moments in Bohr magnetons follow the coordinates.
Element x y z (fractional)
Ga 0.7500 0.7500 0.7500  0.00
Ga 0.2500 0.2500 0.2500  0.00
W 0.5000 0.5000 0.5000  0.61
Fe 0.0000 0.0000 0.0000  1.74

* uncorrected energy: -7.0951 eV per atom